## PmErAlPb (PBE)

Data for crystalline PmErAlPb at its relaxed geometry.

a b c (Å): 7.5491 7.5491 7.5491
angles (deg): 90.00 90.00 90.00
Last column: nearest neighbours and their distance in Å.
Fractional coordinates of all 16 atoms:
Pm 0.0000 0.0000 0.0000  4 Pb 3.27, 4 Al 3.27
Pm 0.0000 0.5000 0.5000  4 Pb 3.27, 4 Al 3.27
Pm 0.5000 0.0000 0.5000  4 Pb 3.27, 4 Al 3.27
Pm 0.5000 0.5000 0.0000  4 Pb 3.27, 4 Al 3.27
Er 0.0000 0.0000 0.5000  4 Pb 3.27, 4 Al 3.27
Er 0.0000 0.5000 0.0000  4 Pb 3.27, 4 Al 3.27
Er 0.5000 0.0000 0.0000  4 Pb 3.27, 4 Al 3.27
Er 0.5000 0.5000 0.5000  4 Pb 3.27, 4 Al 3.27
Al 0.2500 0.2500 0.2500  4 Er 3.27, 4 Pm 3.27
Al 0.2500 0.7500 0.7500  4 Er 3.27, 4 Pm 3.27
Al 0.7500 0.2500 0.7500  4 Er 3.27, 4 Pm 3.27
Al 0.7500 0.7500 0.2500  4 Er 3.27, 4 Pm 3.27
Pb 0.2500 0.2500 0.7500  4 Pm 3.27, 4 Er 3.27
Pb 0.2500 0.7500 0.2500  4 Pm 3.27, 4 Er 3.27
Pb 0.7500 0.2500 0.2500  4 Pm 3.27, 4 Er 3.27
Pb 0.7500 0.7500 0.7500  4 Pm 3.27, 4 Er 3.27

Computed properties:
- calculated total energy (eV for the cell shown) = -72.25
- total magnetic moment (μB/f.u.) = 0.00
- DOS(E_F) (states/eV per cell) = 12.62



## ErTmTlAu (PBE)

Data for crystalline ErTmTlAu at its relaxed geometry.

a b c (Å): 3.5882 3.5882 7.6283
angles (deg): 90.00 90.00 90.00
Last column: nearest neighbours and their distance in Å.
Fractional coordinates of all 4 atoms:
Er 0.0000 0.0000 0.0000  4 Au 3.10, 4 Tl 3.27
Tm 0.0000 0.0000 0.5418  4 Au 3.06, 4 Tl 3.27
Tl 0.5000 0.5000 0.2714  4 Tm 3.27, 4 Er 3.27, 4 Tl 3.59
Au 0.5000 0.5000 0.7664  4 Tm 3.06, 4 Er 3.10

Computed properties:
- E above lowest polymorph (meV per atom) = 0.0
- calculated total energy (eV for the cell shown) = -17.10
- total magnetic moment (μB/f.u.) = 0.00
- DOS(E_F) (states/eV per cell) = 2.56